Entry 1:
Entry from Alexandria: crystalline LaIrO2F at its relaxed geometry (PBE).

The calculation puts the uncorrected energy at -6.6338 eV/atom.

Lattice parameters (Å, degrees): 4.062 4.062 4.300 90.00 90.00 90.00
Space group P4/mmm (No. 123)
Inequivalent atoms, fractional coordinates:
La: 0.000 0.000 0.000
Ir: 0.500 0.500 0.500
O: 0.000 0.500 0.500
F: 0.500 0.500 0.000

Entry 2:
Entry from Alexandria: crystalline LaIrO2F at its relaxed geometry (PBE).

The calculation puts the uncorrected energy at -5.8856 eV/atom.

Lattice parameters (Å, degrees): 4.649 4.649 4.495 90.00 90.00 90.00
Space group P4/mmm (No. 123)
Inequivalent atoms, fractional coordinates:
La: 0.000 0.000 0.000
Ir: 0.500 0.500 0.500
O: 0.000 0.500 0.000
F: 0.000 0.000 0.500

Entry 3:
Entry from Alexandria: crystalline LaIrOsF2 at its relaxed geometry (PBE).

The calculation puts the uncorrected energy at -6.4961 eV/atom.

Lattice parameters (Å, degrees): 4.284 4.284 4.950 90.00 90.00 90.00
Space group P4/mmm (No. 123)
Inequivalent atoms, fractional coordinates:
La: 0.000 0.000 0.000
Ir: 0.500 0.500 0.000
Os: 0.500 0.500 0.500
F: 0.000 0.500 0.500

Entry 4:
Entry from Alexandria: crystalline LaIrPt2F at its relaxed geometry (PBE).

The calculation puts the uncorrected energy at -5.3018 eV/atom.

Lattice parameters (Å, degrees): 5.286 5.286 4.269 90.00 90.00 90.00
Space group P4/mmm (No. 123)
Inequivalent atoms, fractional coordinates:
La: 0.000 0.000 0.000
Ir: 0.500 0.500 0.500
Pt: 0.000 0.500 0.000
F: 0.000 0.000 0.500

Entry 5:
Entry from Alexandria: crystalline LaIrRuF2 at its relaxed geometry (PBE).

The calculation puts the uncorrected energy at -6.3458 eV/atom.

Lattice parameters (Å, degrees): 4.241 4.241 5.004 90.00 90.00 90.00
Space group P4/mmm (No. 123)
Inequivalent atoms, fractional coordinates:
La: 0.000 0.000 0.000
Ir: 0.500 0.500 0.000
Ru: 0.500 0.500 0.500
F: 0.000 0.500 0.500

Entry 6:
Entry from Alexandria: crystalline LaIrRu2F at its relaxed geometry (PBE).

The calculation puts the uncorrected energy at -6.5150 eV/atom.

Lattice parameters (Å, degrees): 4.641 4.641 5.812 90.00 90.00 90.00
Space group P4/mmm (No. 123)
Inequivalent atoms, fractional coordinates:
La: 0.000 0.000 0.000
Ir: 0.000 0.000 0.500
Ru: 0.000 0.500 0.500
F: 0.500 0.500 0.000

Entry 7:
Entry from Alexandria: crystalline Li3IrF8 at its relaxed geometry (PBE).

The calculation puts the uncorrected energy at -4.5997 eV/atom.

Lattice parameters (Å, degrees): 4.973 4.973 4.973 90.00 90.00 90.00
Space group Pm-3m (No. 221)
Inequivalent atoms, fractional coordinates:
Li: 0.000 0.000 0.500
Ir: 0.500 0.500 0.500
F: 0.265 0.265 0.265

Entry 8:
Entry from Alexandria: crystalline Li2IrF6 at its relaxed geometry (PBE).

The calculation puts the uncorrected energy at -4.8328 eV/atom.

Lattice parameters (Å, degrees): 4.714 4.714 9.340 90.00 90.00 90.00
Space group P4_2/mnm (No. 136)
Inequivalent atoms, fractional coordinates:
Li: 0.000 0.000 0.166
Ir: 0.000 0.000 0.500
F: 0.194 0.194 0.339
F: 0.207 0.207 0.000

Entry 9:
Entry from Alexandria: crystalline Li2IrF8 at its relaxed geometry (PBE).

The calculation puts the uncorrected energy at -4.3887 eV/atom.

Lattice parameters (Å, degrees): 9.174 7.172 4.231 90.00 91.36 90.00
Space group C2/m (No. 12)
Inequivalent atoms, fractional coordinates:
Li: 0.101 0.000 0.256
Ir: 0.000 0.500 0.000
F: 0.089 0.309 0.245
F: 0.105 0.000 0.754
F: 0.168 0.500 0.752

Entry 10:
Entry from Alexandria: crystalline Li2IrF8 at its relaxed geometry (PBE).

The calculation puts the uncorrected energy at -4.3336 eV/atom.

Lattice parameters (Å, degrees): 6.3063 6.3063 4.1111 90.00 90.00 120.00
Space group P-3m1 (No. 164)
Inequivalent atoms, fractional coordinates:
Li: 0.3333 0.6667 0.2579
Ir: 0.0000 0.0000 0.0000
F: 0.1457 0.2914 0.2494
F: 0.3333 0.6667 0.7631

Entry 11:
Entry from Alexandria: crystalline Li2IrF6 at its relaxed geometry (PBE).

The calculation puts the uncorrected energy at -4.8146 eV/atom.

Lattice parameters (Å, degrees): 4.739 5.386 8.592 90.00 90.00 90.00
Space group Pnnm (No. 58)
Inequivalent atoms, fractional coordinates:
Li: 0.000 0.000 0.186
Ir: 0.000 0.500 0.000
F: 0.200 0.177 0.000
F: 0.229 0.657 0.163

Entry 12:
Entry from Alexandria: crystalline LiIrF6 at its relaxed geometry (PBE).

The calculation puts the uncorrected energy at -4.6358 eV/atom.

Lattice parameters (Å, degrees): 5.0749 5.0749 9.4193 90.00 90.00 120.00
Space group P-31c (No. 163)
Inequivalent atoms, fractional coordinates:
Li: 0.3333 0.6667 0.2500
Ir: 0.0000 0.0000 0.0000
F: 0.0282 0.3204 0.1184